Record 1
VASP calculation (PBE) on a geometry-optimized Dy5Tl2Co structure.

POSCAR file:
```
Dy5Tl2Co
1.0
4.619 0.000 0.000
0.000 8.066 0.000
0.000 0.000 11.635
Dy Tl Co
10 4 2
Direct
0.000 0.860 0.196
0.000 0.360 0.304
0.500 0.680 0.433
0.000 0.140 0.804
0.500 0.820 0.933
0.000 0.640 0.696
0.500 0.180 0.067
0.000 0.500 0.000
0.000 0.000 0.500
0.500 0.320 0.567
0.500 0.432 0.830
0.500 0.568 0.170
0.500 0.068 0.330
0.500 0.932 0.670
0.000 0.000 0.000
0.000 0.500 0.500
```

Computed properties:
The calculation puts the energy of formation from the pure elements at -0.2588 eV/atom. The calculation puts the density of states at the Fermi level at 13.6 states/eV/cell.

Record 2
VASP calculation (PBE) on a geometry-optimized Sr2ScNi3H12 structure.

POSCAR file:
```
Sr2ScNi3H12
1.0
-3.226 -0.657 4.950
-2.619 -5.293 0.686
2.361 -3.523 4.167
H Sr Sc Ni
12 2 1 3
Direct
0.395 0.883 0.883
0.883 0.883 0.395
0.284 0.284 0.900
0.716 0.100 0.716
0.900 0.284 0.284
0.284 0.900 0.284
0.117 0.605 0.117
0.605 0.117 0.117
0.117 0.117 0.605
0.716 0.716 0.100
0.883 0.395 0.883
0.100 0.716 0.716
0.615 0.615 0.615
0.385 0.385 0.385
0.000 0.000 0.000
0.000 0.000 0.500
0.000 0.500 0.000
0.500 0.000 0.000
```

Computed properties:
As for the energy: -4.066 eV per atom. The calculation puts the density of states at the Fermi level at 4.0 states/eV/cell.

Record 3
VASP calculation (PBE) on a geometry-optimized NiBI2 structure.

POSCAR file:
```
NiBI2
1.0
-4.103 3.300 2.175
-3.895 -2.848 -3.028
-4.703 -3.648 4.123
I B Ni
4 2 2
Direct
0.622 0.125 0.250
0.375 0.378 0.750
0.875 0.872 0.750
0.128 0.625 0.250
0.250 0.750 0.500
0.500 0.500 0.000
0.750 0.250 0.500
0.000 0.000 0.000
```

Computed properties:
The calculation puts the formation energy from raw total energies at 925 meV per atom. The calculation puts the density of states at the Fermi level at 8.0 states/eV/cell.

Question: The lowest density of states at the Fermi level belongs to which entry?
Answer: Sr2ScNi3H12

What did the first record say?
VASP calculation (PBE) on a geometry-optimized Dy5Tl2Co structure.

POSCAR file:
```
Dy5Tl2Co
1.0
4.619 0.000 0.000
0.000 8.066 0.000
0.000 0.000 11.635
Dy Tl Co
10 4 2
Direct
0.000 0.860 0.196
0.000 0.360 0.304
0.500 0.680 0.433
0.000 0.140 0.804
0.500 0.820 0.933
0.000 0.640 0.696
0.500 0.180 0.067
0.000 0.500 0.000
0.000 0.000 0.500
0.500 0.320 0.567
0.500 0.432 0.830
0.500 0.568 0.170
0.500 0.068 0.330
0.500 0.932 0.670
0.000 0.000 0.000
0.000 0.500 0.500
```

Computed properties:
The calculation puts the energy of formation from the pure elements at -0.2588 eV/atom. The calculation puts the density of states at the Fermi level at 13.6 states/eV/cell.